[1]
Compound: Sm4GaI5
Source: Alexandria
Functional: PBE-GGA
Structure: optimized geometry

Results
- total magnetic moment (μB per cell) = 0.00
- formation energy without anion corrections (meV/atom) = -1141

a b c (Å): 19.4844 4.3014 8.9786
angles (deg): 90.00 102.44 90.00
With the nearest neighbours (Å) after each atom.
Space group C2/m (No. 12)
One atom of each set of equivalent atoms:
Sm 0.9999 0.0000 0.2177 [4 per cell]  2 Ga 2.91, 1 I 3.20
Sm 0.1486 0.5000 0.0748 [4 per cell]  1 Ga 2.83, 2 I 3.16
Ga 0.0000 0.5000 0.0000 [2 per cell]  6 Sm 2.83-2.91
I 0.0000 0.5000 0.5000 [2 per cell]  4 Sm 3.32
I 0.1669 0.0000 0.3375 [4 per cell]  3 Sm 3.16-3.20
I 0.1722 0.0000 0.8270 [4 per cell]  4 Sm 3.20-3.41

=====

[2]
Compound: NaLi2TlF
Source: Alexandria
Functional: PBE-GGA
Structure: optimized geometry

Results
- total magnetic moment (μB per cell) = 0.00
- formation energy without anion corrections (meV/atom) = -1097

a b c (Å): 4.4002 4.4002 4.6061
angles (deg): 90.00 90.00 90.00
With the nearest neighbours (Å) after each atom.
Space group P4/mmm (No. 123)
One atom of each set of equivalent atoms:
Na 0.0000 0.0000 0.0000 [1 per cell]  2 F 2.30
Li 0.0000 0.5000 0.5000 [2 per cell]  2 F 2.20
Tl 0.5000 0.5000 0.0000 [1 per cell]  4 Na 3.11, 8 Li 3.19
F 0.0000 0.0000 0.5000 [1 per cell]  4 Li 2.20, 2 Na 2.30

=====

Respective Fermi-level density of states values: 0.494, 0.205 states/eV per atom.